Entry 1:
Below is a relaxed structure of Zr2SbPb, with properties calculated at the PBE-GGA level.

CIF file:
```
data_Zr2SbPb
_chemical_formula_sum 'Zr2 Sb1 Pb1'
_cell_length_a 3.422
_cell_length_b 4.200
_cell_length_c 6.805
_cell_angle_alpha 90.00
_cell_angle_beta 103.57
_cell_angle_gamma 90.00
_space_group_name_H-M_alt 'P 1 2/m 1'
_space_group_IT_number 10
loop_
_space_group_symop_operation_xyz
'x,y,z'
'-x,-y,-z'
'-x,y,-z'
'x,-y,z'
loop_
_atom_site_label
_atom_site_type_symbol
_atom_site_fract_x
_atom_site_fract_y
_atom_site_fract_z
Zr1 Zr 0.021 0.000 0.261
Sb1 Sb 0.500 0.500 0.500
Pb1 Pb 0.500 0.500 0.000
```

Results
uncorrected energy = -26.21 eV for the cell shown
ΔE_f (raw) = -0.3202 eV/atom

=====

Entry 2:
Below is a relaxed structure of CdAg2GeF8, with properties calculated at the PBE-GGA level.

CIF file:
```
data_CdAg2GeF8
_chemical_formula_sum 'Cd1 Ag2 Ge1 F8'
_cell_length_a 5.121
_cell_length_b 6.865
_cell_length_c 5.534
_cell_angle_alpha 90.00
_cell_angle_beta 92.57
_cell_angle_gamma 90.00
_space_group_name_H-M_alt 'P 1 2/m 1'
_space_group_IT_number 10
loop_
_space_group_symop_operation_xyz
'x,y,z'
'-x,-y,-z'
'-x,y,-z'
'x,-y,z'
loop_
_atom_site_label
_atom_site_type_symbol
_atom_site_fract_x
_atom_site_fract_y
_atom_site_fract_z
Cd1 Cd 0.000 0.000 0.000
Ag1 Ag 0.500 0.261 0.500
Ge1 Ge 0.000 0.500 0.000
F1 F 0.158 0.304 0.829
F2 F 0.273 0.500 0.223
F3 F 0.303 0.000 0.271
```

Results
uncorrected energy = -48.93 eV for the cell shown
ΔE_f (raw) = -1.8933 eV/atom

=====

Entry 3:
Below is a relaxed structure of LaNi3Sb, with properties calculated at the PBE-GGA level.

CIF file:
```
data_LaNi3Sb
_chemical_formula_sum 'La1 Ni3 Sb1'
_cell_length_a 4.708
_cell_length_b 4.708
_cell_length_c 4.708
_cell_angle_alpha 90.00
_cell_angle_beta 90.00
_cell_angle_gamma 90.00
_space_group_name_H-M_alt 'P m -3 m'
_space_group_IT_number 221
_space_group_name_Hall '-P 4 2 3'
loop_
_atom_site_label
_atom_site_type_symbol
_atom_site_fract_x
_atom_site_fract_y
_atom_site_fract_z
La1 La 0.000 0.000 0.000
Ni1 Ni 0.000 0.500 0.500
Sb1 Sb 0.500 0.500 0.500
```

Results
uncorrected energy = -26.25 eV for the cell shown
ΔE_f (raw) = 0.0292 eV/atom

=====

Entry 4:
Below is a relaxed structure of Er2ZnGa3, with properties calculated at the PBE-GGA level.

CIF file:
```
data_Er2ZnGa3
_chemical_formula_sum 'Er4 Zn2 Ga6'
_cell_length_a 10.468
_cell_length_b 4.357
_cell_length_c 7.226
_cell_angle_alpha 90.00
_cell_angle_beta 133.65
_cell_angle_gamma 90.00
_space_group_name_H-M_alt 'C 1 m 1'
_space_group_IT_number 8
loop_
_space_group_symop_operation_xyz
'x,y,z'
'x,-y,z'
'x+1/2,y+1/2,z'
'x+1/2,-y+1/2,z'
loop_
_atom_site_label
_atom_site_type_symbol
_atom_site_fract_x
_atom_site_fract_y
_atom_site_fract_z
Er1 Er 0.000 0.000 0.000
Er2 Er 0.009 0.000 0.509
Zn1 Zn 0.172 0.500 0.414
Ga1 Ga 0.169 0.500 0.926
Ga2 Ga 0.335 0.000 0.581
Ga3 Ga 0.342 0.000 0.094
```

Results
calculated formation energy = -3.52 eV/f.u.
uncorrected energy = -45.99 eV for the cell shown

=====

Entry 5:
Below is a relaxed structure of Li9InPd2, with properties calculated at the PBE-GGA level.

CIF file:
```
data_Li9InPd2
_chemical_formula_sum 'Li27 In3 Pd6'
_cell_length_a 5.1136
_cell_length_b 5.1136
_cell_length_c 25.0691
_cell_angle_alpha 90.00
_cell_angle_beta 90.00
_cell_angle_gamma 120.00
_space_group_name_H-M_alt 'R -3 m'
_space_group_IT_number 166
_space_group_name_Hall '-R 3 2"'
loop_
_atom_site_label
_atom_site_type_symbol
_atom_site_fract_x
_atom_site_fract_y
_atom_site_fract_z
Li1 Li 0.0000 0.0000 0.0000
Li2 Li 0.0000 0.0000 0.1620
Li3 Li 0.0181 0.5090 0.4054
In1 In 0.0000 0.0000 0.5000
Pd1 Pd 0.0000 0.0000 0.3533
```

Results
calculated formation energy = -1.01 eV/f.u.
uncorrected energy = -94.09 eV for the cell shown

=====

Entry 6:
Below is a relaxed structure of BeFeCuSn2, with properties calculated at the PBE-GGA level.

CIF file:
```
data_BeFeCuSn2
_chemical_formula_sum 'Be1 Fe1 Cu1 Sn2'
_cell_length_a 4.683
_cell_length_b 4.683
_cell_length_c 3.989
_cell_angle_alpha 90.00
_cell_angle_beta 90.00
_cell_angle_gamma 90.00
_space_group_name_H-M_alt 'P 4/m m m'
_space_group_IT_number 123
_space_group_name_Hall '-P 4 2'
loop_
_atom_site_label
_atom_site_type_symbol
_atom_site_fract_x
_atom_site_fract_y
_atom_site_fract_z
Be1 Be 0.000 0.000 0.000
Fe1 Fe 0.500 0.500 0.500
Cu1 Cu 0.000 0.000 0.500
Sn1 Sn 0.000 0.500 0.000
```

Results
calculated formation energy = 3.80 eV/f.u.
uncorrected energy = -20.49 eV for the cell shown

=====

Entry 7:
Below is a relaxed structure of DyAlGa2, with properties calculated at the PBE-GGA level.

CIF file:
```
data_DyAlGa2
_chemical_formula_sum 'Dy3 Al3 Ga6'
_cell_length_a 4.3018
_cell_length_b 4.3018
_cell_length_c 15.2364
_cell_angle_alpha 90.00
_cell_angle_beta 90.00
_cell_angle_gamma 120.00
_space_group_name_H-M_alt 'R -3 m'
_space_group_IT_number 166
_space_group_name_Hall '-R 3 2"'
loop_
_atom_site_label
_atom_site_type_symbol
_atom_site_fract_x
_atom_site_fract_y
_atom_site_fract_z
Dy1 Dy 0.0000 0.0000 0.0000
Al1 Al 0.0000 0.0000 0.5000
Ga1 Ga 0.0000 0.0000 0.2238
```

Results
calculated formation energy = -1.59 eV/f.u.
uncorrected energy = -47.97 eV for the cell shown

=====

Entry 8:
Below is a relaxed structure of Zn2AgI6, with properties calculated at the PBE-GGA level.

CIF file:
```
data_Zn2AgI6
_chemical_formula_sum 'Zn8 Ag4 I24'
_cell_length_a 14.667
_cell_length_b 16.715
_cell_length_c 7.189
_cell_angle_alpha 90.00
_cell_angle_beta 119.30
_cell_angle_gamma 90.00
_space_group_name_H-M_alt 'C 1 2/c 1'
_space_group_IT_number 15
loop_
_space_group_symop_operation_xyz
'x,y,z'
'-x,-y,-z'
'-x,y,-z+1/2'
'x,-y,z+1/2'
'x+1/2,y+1/2,z'
'-x+1/2,-y+1/2,-z'
'-x+1/2,y+1/2,-z+1/2'
'x+1/2,-y+1/2,z+1/2'
loop_
_atom_site_label
_atom_site_type_symbol
_atom_site_fract_x
_atom_site_fract_y
_atom_site_fract_z
Zn1 Zn 0.249 0.071 0.396
Ag1 Ag 0.000 0.251 0.250
I1 I 0.086 0.143 0.082
I2 I 0.086 0.358 0.589
I3 I 0.249 0.079 0.763
```

Results
uncorrected energy = -72.49 eV for the cell shown
ΔE_f (raw) = -0.3802 eV/atom

=====

Entry 9:
Below is a relaxed structure of K3ScU3Te8, with properties calculated at the PBE-GGA level.

CIF file:
```
data_K3ScU3Te8
_chemical_formula_sum 'K3 Sc1 U3 Te8'
_cell_length_a 8.842
_cell_length_b 8.872
_cell_length_c 9.859
_cell_angle_alpha 63.43
_cell_angle_beta 63.45
_cell_angle_gamma 60.21
_space_group_name_H-M_alt 'P -1'
_space_group_IT_number 2
loop_
_space_group_symop_operation_xyz
'x,y,z'
'-x,-y,-z'
loop_
_atom_site_label
_atom_site_type_symbol
_atom_site_fract_x
_atom_site_fract_y
_atom_site_fract_z
K1 K 0.000 0.000 0.000
K2 K 0.000 0.500 0.000
K3 K 0.500 0.000 0.000
Sc1 Sc 0.000 0.000 0.500
U1 U 0.000 0.500 0.500
U2 U 0.500 0.000 0.500
U3 U 0.500 0.500 0.500
Te1 Te 0.228 0.228 0.298
Te2 Te 0.228 0.745 0.298
Te3 Te 0.254 0.772 0.703
Te4 Te 0.262 0.263 0.714
```

Results
uncorrected energy = -82.20 eV for the cell shown
ΔE_f (raw) = -0.9052 eV/atom

=====

Entry 10:
Below is a relaxed structure of BeOsW2, with properties calculated at the PBE-GGA level.

CIF file:
```
data_BeOsW2
_chemical_formula_sum 'Be3 Os3 W6'
_cell_length_a 2.7700
_cell_length_b 2.7700
_cell_length_c 25.9948
_cell_angle_alpha 90.00
_cell_angle_beta 90.00
_cell_angle_gamma 120.00
_space_group_name_H-M_alt 'R -3 m'
_space_group_IT_number 166
_space_group_name_Hall '-R 3 2"'
loop_
_atom_site_label
_atom_site_type_symbol
_atom_site_fract_x
_atom_site_fract_y
_atom_site_fract_z
Be1 Be 0.0000 0.0000 0.0000
Os1 Os 0.0000 0.0000 0.5000
W1 W 0.0000 0.0000 0.2538
```

Results
calculated formation energy = 1.12 eV/f.u.
uncorrected energy = -119.23 eV for the cell shown

=====

Entry 11:
Below is a relaxed structure of ZrCd2Se, with properties calculated at the PBE-GGA level.

CIF file:
```
data_ZrCd2Se
_chemical_formula_sum 'Zr3 Cd6 Se3'
_cell_length_a 3.5115
_cell_length_b 3.5115
_cell_length_c 26.6364
_cell_angle_alpha 90.00
_cell_angle_beta 90.00
_cell_angle_gamma 120.00
_space_group_name_H-M_alt 'R 3 m'
_space_group_IT_number 160
_space_group_name_Hall 'R 3 -2"'
loop_
_atom_site_label
_atom_site_type_symbol
_atom_site_fract_x
_atom_site_fract_y
_atom_site_fract_z
Zr1 Zr 0.0000 0.0000 0.0000
Cd1 Cd 0.0000 0.0000 0.5094
Cd2 Cd 0.0000 0.0000 0.7554
Se1 Se 0.0000 0.0000 0.2679
```

Results
uncorrected energy = -46.24 eV for the cell shown
ΔE_f (raw) = -0.3874 eV/atom

=====

Entry 12:
Below is a relaxed structure of Li2PaRh3, with properties calculated at the PBE-GGA level.

CIF file:
```
data_Li2PaRh3
_chemical_formula_sum 'Li2 Pa1 Rh3'
_cell_length_a 4.4748
_cell_length_b 4.4748
_cell_length_c 5.3470
_cell_angle_alpha 90.00
_cell_angle_beta 90.00
_cell_angle_gamma 120.00
_space_group_name_H-M_alt 'P -3 m 1'
_space_group_IT_number 164
_space_group_name_Hall '-P 3 2"'
loop_
_atom_site_label
_atom_site_type_symbol
_atom_site_fract_x
_atom_site_fract_y
_atom_site_fract_z
Li1 Li 0.3333 0.6667 0.1505
Pa1 Pa 0.0000 0.0000 0.5000
Rh1 Rh 0.0000 0.0000 0.0000
Rh2 Rh 0.3333 0.6667 0.6723
```

Results
calculated formation energy = -3.58 eV/f.u.
uncorrected energy = -38.96 eV for the cell shown